No. 1
! MgMn2Cl (PBE-GGA, optimized geometry); values from VASP
&SYSTEM
  ibrav = 0, nat = 12, ntyp = 3
/
ATOMIC_SPECIES
Mg 24.30 Mg.upf
Mn 54.94 Mn.upf
Cl 35.45 Cl.upf
CELL_PARAMETERS angstrom
3.1245 0.0000 0.0000
-1.5623 2.7059 0.0000
0.0000 0.0000 25.2452
ATOMIC_POSITIONS crystal
Mg 0.0000 0.0000 0.0000
Mg 0.3333 0.6667 0.6667
Mg 0.6667 0.3333 0.3333
Mn 0.0000 0.0000 0.2449
Mn 0.0000 0.0000 0.7551
Mn 0.3333 0.6667 0.4218
Mn 0.3333 0.6667 0.9115
Mn 0.6667 0.3333 0.0885
Mn 0.6667 0.3333 0.5782
Cl 0.0000 0.0000 0.5000
Cl 0.3333 0.6667 0.1667
Cl 0.6667 0.3333 0.8333
! Polymorph energy (0 for the lowest one) (meV per atom): 239.1
! Density (g/cm3): 3.96
! V (A^3/atom): 17.79

No. 2
! TcTeAuN2 (PBE-GGA, optimized geometry); values from VASP
&SYSTEM
  ibrav = 0, nat = 5, ntyp = 4
/
ATOMIC_SPECIES
Tc 98.00 Tc.upf
Te 127.60 Te.upf
Au 196.97 Au.upf
N 14.01 N.upf
CELL_PARAMETERS angstrom
3.8671 0.0000 0.0000
0.0000 3.8671 0.0000
0.0000 0.0000 5.8625
ATOMIC_POSITIONS crystal
Tc 0.0000 0.0000 0.0000
Te 0.0000 0.0000 0.5000
Au 0.5000 0.5000 0.5000
N 0.0000 0.5000 0.0000
N 0.5000 0.0000 0.0000
! Polymorph energy (0 for the lowest one) (meV per atom): 0.0
! Density (g/cm3): 8.53
! V (A^3/atom): 17.53

No. 3
! TcPd2Pt3 (PBE-GGA, optimized geometry); values from VASP
&SYSTEM
  ibrav = 0, nat = 6, ntyp = 3
/
ATOMIC_SPECIES
Tc 98.00 Tc.upf
Pd 106.42 Pd.upf
Pt 195.08 Pt.upf
CELL_PARAMETERS angstrom
2.7681 0.0000 0.0000
0.0000 2.7681 0.0000
0.0000 0.0000 11.9628
ATOMIC_POSITIONS crystal
Tc 0.0000 0.0000 0.0000
Pd 0.0000 0.0000 0.3309
Pd 0.0000 0.0000 0.6691
Pt 0.5000 0.5000 0.1583
Pt 0.5000 0.5000 0.5000
Pt 0.5000 0.5000 0.8417
! DFT formation energy (meV/atom): -123
! Density (g/cm3): 16.23
! V (A^3/atom): 15.28

Which of these has the highest density?
TcPd2Pt3